1.
This record from Alexandria describes an optimized crystal structure of Ba4TlMo. The functional is PBE-GGA.

Lattice parameters (Å, degrees): 7.221 7.221 7.221 60.00 60.00 60.00
Positions (direct):
Ba 0.375 0.876 0.375
Ba 0.876 0.375 0.375
Ba 0.375 0.375 0.876
Ba 0.375 0.375 0.375
Tl 0.000 0.000 0.000
Mo 0.750 0.750 0.750

Values from the calculation:
Magnetization, μB per cell: 3.26
Energy relative to the elements, meV/atom: 948
Symmetry: F-43m
D(E_F), states/eV/cell: 6.68


2.
This record from Alexandria describes an optimized crystal structure of BaMo2C. The functional is PBE-GGA.

Lattice parameters (Å, degrees): 6.427 6.427 6.428 60.01 60.01 90.00
Positions (direct):
Mo 0.375 0.625 0.750
Mo 0.875 0.625 0.750
Mo 0.375 0.625 0.250
Mo 0.375 0.125 0.250
C 0.500 0.500 0.000
C 0.250 0.750 0.500
Ba 0.000 0.000 0.000
Ba 0.750 0.250 0.500

Values from the calculation:
Magnetization, μB per cell: 0.00
Energy relative to the elements, meV/atom: 799
Symmetry: Fd-3m
D(E_F), states/eV/cell: 10.16


- magnetization of number 2 (BaMo2C)?
  0.00 μB per cell


Copy entry 2 word for word.
This record from Alexandria describes an optimized crystal structure of BaMo2C. The functional is PBE-GGA.

Lattice parameters (Å, degrees): 6.427 6.427 6.428 60.01 60.01 90.00
Positions (direct):
Mo 0.375 0.625 0.750
Mo 0.875 0.625 0.750
Mo 0.375 0.625 0.250
Mo 0.375 0.125 0.250
C 0.500 0.500 0.000
C 0.250 0.750 0.500
Ba 0.000 0.000 0.000
Ba 0.750 0.250 0.500

Values from the calculation:
Magnetization, μB per cell: 0.00
Energy relative to the elements, meV/atom: 799
Symmetry: Fd-3m
D(E_F), states/eV/cell: 10.16


- Number 1 is which compound?
  Ba4TlMo